one:
# CrInH PBE optimized geometry
# M_tot: 0.00 μB/atom
data_CrInH
_space_group_name_H-M_alt 'C 1 2/m 1'
_space_group_IT_number 12
_cell_length_a 5.247
_cell_length_b 2.992
_cell_length_c 10.180
_cell_angle_alpha 90.00
_cell_angle_beta 100.24
_cell_angle_gamma 90.00
loop_
_space_group_symop_operation_xyz
'x,y,z'
'-x,-y,-z'
'-x,y,-z'
'x,-y,z'
'x+1/2,y+1/2,z'
'-x+1/2,-y+1/2,-z'
'-x+1/2,y+1/2,-z'
'x+1/2,-y+1/2,z'
loop_
_atom_site_label
_atom_site_type_symbol
_atom_site_fract_x
_atom_site_fract_y
_atom_site_fract_z
_atom_site_occupancy
Cr1 Cr 0.030 0.000 0.096 1
In1 In 0.050 0.500 0.650 1
H1 H 0.209 0.500 0.130 1


two:
# CrInH PBE optimized geometry
# M_tot: 0.00 μB/atom
data_CrInH
_space_group_name_H-M_alt 'P -6 m 2'
_space_group_IT_number 187
_space_group_name_Hall 'P -6 2'
_cell_length_a 3.0214
_cell_length_b 3.0214
_cell_length_c 9.9407
_cell_angle_alpha 90.00
_cell_angle_beta 90.00
_cell_angle_gamma 120.00
loop_
_atom_site_label
_atom_site_type_symbol
_atom_site_fract_x
_atom_site_fract_y
_atom_site_fract_z
_atom_site_occupancy
Cr1 Cr 0.0000 0.0000 0.0966 1
In1 In 0.3333 0.6667 0.3499 1
H1 H 0.6667 0.3333 0.1258 1


three:
# CrInH PBE optimized geometry
# M_tot: 0.18 μB/atom
data_CrInH
_space_group_name_H-M_alt 'R 3 m'
_space_group_IT_number 160
_space_group_name_Hall 'R 3 -2"'
_cell_length_a 3.1503
_cell_length_b 3.1503
_cell_length_c 28.0998
_cell_angle_alpha 90.00
_cell_angle_beta 90.00
_cell_angle_gamma 120.00
loop_
_atom_site_label
_atom_site_type_symbol
_atom_site_fract_x
_atom_site_fract_y
_atom_site_fract_z
_atom_site_occupancy
Cr1 Cr 0.0000 0.0000 0.0000 1
Cr2 Cr 0.0000 0.0000 0.2637 1
In1 In 0.0000 0.0000 0.7476 1
In2 In 0.0000 0.0000 0.8506 1
H1 H 0.0000 0.0000 0.3266 1
H2 H 0.0000 0.0000 0.6019 1


four:
# CrInH PBE optimized geometry
# M_tot: 0.00 μB/atom
data_CrInH
_space_group_name_H-M_alt 'C 1 2/m 1'
_space_group_IT_number 12
_cell_length_a 17.570
_cell_length_b 2.957
_cell_length_c 3.008
_cell_angle_alpha 90.00
_cell_angle_beta 98.85
_cell_angle_gamma 90.00
loop_
_space_group_symop_operation_xyz
'x,y,z'
'-x,-y,-z'
'-x,y,-z'
'x,-y,z'
'x+1/2,y+1/2,z'
'-x+1/2,-y+1/2,-z'
'-x+1/2,y+1/2,-z'
'x+1/2,-y+1/2,z'
loop_
_atom_site_label
_atom_site_type_symbol
_atom_site_fract_x
_atom_site_fract_y
_atom_site_fract_z
_atom_site_occupancy
Cr1 Cr 0.209 0.000 0.190 1
In1 In 0.083 0.500 0.674 1
H1 H 0.202 0.500 0.497 1


Energies relative to the most stable structure are one 5.7; two 4.2; three 0.0; four 2.8, reported in kJ/mol of atoms.


one:
# CrInH PBE optimized geometry
# M_tot: 0.27 μB/atom
data_CrInH
_space_group_name_H-M_alt 'I 4/m m m'
_space_group_IT_number 139
_space_group_name_Hall '-I 4 2'
_cell_length_a 3.043
_cell_length_b 3.043
_cell_length_c 17.155
_cell_angle_alpha 90.00
_cell_angle_beta 90.00
_cell_angle_gamma 90.00
loop_
_atom_site_label
_atom_site_type_symbol
_atom_site_fract_x
_atom_site_fract_y
_atom_site_fract_z
_atom_site_occupancy
Cr1 Cr 0.000 0.000 0.062 1
In1 In 0.000 0.000 0.330 1
H1 H 0.000 0.500 0.000 1


two:
# CrInH PBE optimized geometry
# M_tot: 0.00 μB/atom
data_CrInH
_space_group_name_H-M_alt 'P 1 21/m 1'
_space_group_IT_number 11
_cell_length_a 3.027
_cell_length_b 3.762
_cell_length_c 7.428
_cell_angle_alpha 90.00
_cell_angle_beta 100.81
_cell_angle_gamma 90.00
loop_
_space_group_symop_operation_xyz
'x,y,z'
'-x,-y,-z'
'-x,y+1/2,-z'
'x,-y+1/2,z'
loop_
_atom_site_label
_atom_site_type_symbol
_atom_site_fract_x
_atom_site_fract_y
_atom_site_fract_z
_atom_site_occupancy
Cr1 Cr 0.205 0.250 0.476 1
In1 In 0.418 0.750 0.839 1
H1 H 0.226 0.750 0.396 1


three:
# CrInH PBE optimized geometry
# M_tot: 0.00 μB/atom
data_CrInH
_space_group_name_H-M_alt 'P -1'
_space_group_IT_number 2
_cell_length_a 2.970
_cell_length_b 2.993
_cell_length_c 9.010
_cell_angle_alpha 81.53
_cell_angle_beta 82.16
_cell_angle_gamma 76.92
loop_
_space_group_symop_operation_xyz
'x,y,z'
'-x,-y,-z'
loop_
_atom_site_label
_atom_site_type_symbol
_atom_site_fract_x
_atom_site_fract_y
_atom_site_fract_z
_atom_site_occupancy
Cr1 Cr 0.203 0.227 0.083 1
In1 In 0.456 0.445 0.343 1
H1 H 0.188 0.166 0.895 1


Energies relative to the most stable structure are one 12.0; two 0.5; three 0.0, reported in kJ/mol of atoms.